Te2N2Cl: single point on PBEsol structure, meta-GGA SCAN.

Symmetry: P4/mmm
Formation energy from raw total energies: 1.687 eV per atom

a b c (Å): 3.905 4.620 4.620
angles (deg): 90.00 90.00 90.00
Element x y z (fractional)
N 0.000 0.000 0.000
N 0.500 0.000 0.000
Te 0.000 0.000 0.500
Te 0.000 0.500 0.000
Cl 0.500 0.500 0.500